ThNi4Rh | PBE-GGA | relaxed

```
6
Lattice="-0.813 0.319 -4.873 -1.695 -3.929 -2.489 -4.633 -0.015 -1.743" Properties=species:S:1:pos:R:3 pbc="T T T"
Ni -2.162 -2.253 -4.816
Ni -3.615 -0.318 -4.447
Ni -4.454 -2.261 -5.678
Ni -4.052 -2.419 -3.268
Rh -1.785 -0.906 -2.276
Th 0.000 0.000 0.000
```

Values from the calculation:
**Theoretical density**: 11.0 g/cm³
**Distance to the lowest polymorph of the same formula**: 0.0 meV per atom
**Formation energy from the elements**: -0.34 eV per atom